No. 1
Below is a relaxed Sc2AsIr crystal, with properties calculated at the GGA-PBE level.

Cell lengths 6.6249, 6.6249, 6.6249 Å; angles 90.00, 90.00, 90.00 degrees
Last column: nearest neighbours and their distance in Å.
Space group Fm-3m (No. 225)
One atom of each set of equivalent atoms:
Sc1 0.2500 0.2500 0.2500 [8 per cell]  4 As 2.87, 4 Ir 2.87
As1 0.0000 0.0000 0.0000 [4 per cell]  8 Sc 2.87
Ir1 0.0000 0.0000 0.5000 [4 per cell]  8 Sc 2.87

DOS at the Fermi energy: 6.28 states/eV per cell
magnetic moment: 0.0 μB/f.u.
energy of formation: -0.82 eV per atom


No. 2
Below is a relaxed Sc2AsIr crystal, with properties calculated at the GGA-PBE level.

Cell lengths 3.7994, 3.7994, 5.5443 Å; angles 90.00, 90.00, 90.00 degrees
Last column: nearest neighbours and their distance in Å.
Space group P4mm (No. 99)
One atom of each set of equivalent atoms:
Sc1 0.0000 0.0000 0.0000 [1 per cell]  4 Ir 2.72, 2 As 2.75-2.79
Sc2 0.5000 0.5000 0.3762 [1 per cell]  1 Ir 2.53, 4 As 2.77
As1 0.0000 0.0000 0.4960 [1 per cell]  6 Sc 2.75-2.79
Ir1 0.5000 0.5000 0.9196 [1 per cell]  5 Sc 2.53-2.72

DOS at the Fermi energy: 0.42 states/eV per cell
magnetic moment: 0.0 μB/f.u.
energy of formation: -0.84 eV per atom


no.,uncorrected energy (eV per atom),distance to the lowest polymorph of the same formula (eV per atom)
1,-7.3663,0.237
2,-7.3808,0.222